w | This record from Alexandria describes a geometry-optimized CeTmCd structure. The functional is PBE.

The volume comes out at 26.593 A^3/atom.

The structure belongs to space group Cmcm (No. 63); the cell edges are 3.422, 17.611 and 5.295 Å and the angles 90.00°, 90.00° and 90.00°. The inequivalent atoms are Ce at (0.000, 0.229, 0.250), Tm at (0.000, 0.092, 0.750) and Cd at (0.000, 0.438, 0.750).

---

x | This record from Alexandria describes a geometry-optimized CeTmCd structure. The functional is PBE.

The volume comes out at 27.667 A^3/atom.

The structure belongs to space group I4mm (No. 107); the cell edges are 3.450, 3.450 and 13.944 Å and the angles 90.00°, 90.00° and 90.00°. The inequivalent atoms are Ce at (0.000, 0.000, 0.000), Tm at (0.000, 0.000, 0.683) and Cd at (0.000, 0.000, 0.333).

---

y | This record from Alexandria describes a geometry-optimized CeTmCd structure. The functional is PBE.

The volume comes out at 25.551 A^3/atom.

The structure belongs to space group P3m1 (No. 156); the cell edges are 5.3829, 5.3829 and 3.0547 Å and the angles 90.00°, 90.00° and 120.00°. The inequivalent atoms are Ce at (0.0000, 0.0000, 0.0000), Tm at (0.3333, 0.6667, 0.0041) and Cd at (0.6667, 0.3333, 0.5012).

---

Top of the stability list: w, leading by 0.033 eV/atom.

---

w | This record from Alexandria describes a geometry-optimized Ce2TmCd structure. The functional is PBE.

The volume comes out at 28.749 A^3/atom.

The structure belongs to space group P4/mmm (No. 123); the cell edges are 5.673, 5.673 and 3.573 Å and the angles 90.00°, 90.00° and 90.00°. The inequivalent atoms are Ce at (0.000, 0.500, 0.000), Tm at (0.000, 0.000, 0.500) and Cd at (0.500, 0.500, 0.500).

---

x | This record from Alexandria describes a geometry-optimized Ce2TmCd structure. The functional is PBE.

The volume comes out at 28.745 A^3/atom.

The structure belongs to space group Fm-3m (No. 225); the cell edges are 7.719, 7.719 and 7.719 Å and the angles 90.00°, 90.00° and 90.00°. The inequivalent atoms are Ce at (0.250, 0.250, 0.250), Tm at (0.000, 0.000, 0.000) and Cd at (0.000, 0.000, 0.500).

---

Top of the stability list: w, leading by 0.035 eV/atom.

---

w | This record from Alexandria describes a geometry-optimized Ce2TmCd structure. The functional is PBE.

The volume comes out at 28.838 A^3/atom.

The structure belongs to space group R-3m (No. 166, hexagonal axes); the cell edges are 3.2761, 3.2761 and 37.2306 Å and the angles 90.00°, 90.00° and 120.00°. The inequivalent atoms are Ce at (0.0000, 0.0000, 0.0889), Tm at (0.0000, 0.0000, 0.5000) and Cd at (0.0000, 0.0000, 0.0000).

---

x | This record from Alexandria describes a geometry-optimized Ce2TmCd structure. The functional is PBE.

The volume comes out at 27.857 A^3/atom.

The structure belongs to space group P4/mmm (No. 123); the cell edges are 3.300, 3.300 and 10.235 Å and the angles 90.00°, 90.00° and 90.00°. The inequivalent atoms are Ce at (0.000, 0.000, 0.238), Tm at (0.500, 0.500, 0.500) and Cd at (0.500, 0.500, 0.000).

---

Top of the stability list: x, leading by 0.211 eV/atom.

---

w | This record from Alexandria describes a geometry-optimized Ce2UCd structure. The functional is PBE.

The volume comes out at 24.098 A^3/atom.

The structure belongs to space group P4/mmm (No. 123); the cell edges are 5.528, 5.528 and 3.154 Å and the angles 90.00°, 90.00° and 90.00°. The inequivalent atoms are Ce at (0.000, 0.500, 0.000), U at (0.000, 0.000, 0.500) and Cd at (0.500, 0.500, 0.500).

---

x | This record from Alexandria describes a geometry-optimized Ce2UCd structure. The functional is PBE.

The volume comes out at 24.511 A^3/atom.

The structure belongs to space group P4/mmm (No. 123); the cell edges are 3.622, 3.622 and 7.475 Å and the angles 90.00°, 90.00° and 90.00°. The inequivalent atoms are Ce at (0.000, 0.000, 0.219), U at (0.500, 0.500, 0.000) and Cd at (0.500, 0.500, 0.500).

---

Top of the stability list: w, leading by 0.102 eV/atom.